--- i ---
# Sr3Sc GGA-PBEsol relaxed
data_Sr3Sc
_cell_length_a 3.7726
_cell_length_b 6.0141
_cell_length_c 7.3548
_cell_angle_alpha 90.00
_cell_angle_beta 101.63
_cell_angle_gamma 90.00
_symmetry_space_group_name_H-M 'P 1 2/m 1'
_symmetry_Int_Tables_number 10
_symmetry_space_group_name_Hall '-P 2y'
loop_
_atom_site_label
_atom_site_type_symbol
_atom_site_fract_x
_atom_site_fract_y
_atom_site_fract_z
Sr1 Sr 0.0000 0.0000 0.0000
Sr2 Sr 0.2683 0.5000 0.7336
Sc1 Sc 0.5000 0.0000 0.5000
# M_tot: 0.05 μB per cell
# Theoretical density: 3.1 Mg/m³
# Crystal system: monoclinic
# N(E_F): 4.5 states/eV/cell

---

--- ii ---
# Sr3Sc GGA-PBEsol relaxed
data_Sr3Sc
_cell_length_a 4.1871
_cell_length_b 6.2722
_cell_length_c 12.5486
_cell_angle_alpha 90.00
_cell_angle_beta 90.00
_cell_angle_gamma 90.00
_symmetry_space_group_name_H-M 'I m m m'
_symmetry_Int_Tables_number 71
_symmetry_space_group_name_Hall '-I 2 2'
loop_
_atom_site_label
_atom_site_type_symbol
_atom_site_fract_x
_atom_site_fract_y
_atom_site_fract_z
Sr1 Sr 0.0000 0.0000 0.0000
Sr2 Sr 0.0000 0.5000 0.2285
Sc1 Sc 0.0000 0.0000 0.5000
# M_tot: 0.00 μB per cell
# Theoretical density: 3.1 Mg/m³
# Crystal system: orthorhombic
# N(E_F): 9.7 states/eV/cell

---

Need the numbers? Relative energies in kJ/mol of atoms: i 1.8; ii 0.0.

---

--- i ---
# SrScTa2 GGA-PBEsol relaxed
data_SrScTa2
_cell_length_a 3.9111
_cell_length_b 4.3150
_cell_length_c 5.1150
_cell_angle_alpha 90.00
_cell_angle_beta 90.00
_cell_angle_gamma 90.00
_symmetry_space_group_name_H-M 'P m m m'
_symmetry_Int_Tables_number 47
_symmetry_space_group_name_Hall '-P 2 2'
loop_
_atom_site_label
_atom_site_type_symbol
_atom_site_fract_x
_atom_site_fract_y
_atom_site_fract_z
Sr1 Sr 0.0000 0.0000 0.0000
Sc1 Sc 0.5000 0.5000 0.0000
Ta1 Ta 0.0000 0.5000 0.5000
Ta2 Ta 0.5000 0.0000 0.5000
# M_tot: 0.00 μB per cell
# Theoretical density: 9.5 Mg/m³
# Crystal system: orthorhombic
# N(E_F): 4.9 states/eV/cell

---

--- ii ---
# SrScTa2 GGA-PBEsol relaxed
data_SrScTa2
_cell_length_a 9.4916
_cell_length_b 3.0093
_cell_length_c 6.7074
_cell_angle_alpha 90.00
_cell_angle_beta 93.31
_cell_angle_gamma 90.00
_symmetry_space_group_name_H-M 'C 1 m 1'
_symmetry_Int_Tables_number 8
_symmetry_space_group_name_Hall 'C -2y'
loop_
_atom_site_label
_atom_site_type_symbol
_atom_site_fract_x
_atom_site_fract_y
_atom_site_fract_z
Sr1 Sr 0.0000 0.0000 0.0000
Sc1 Sc 0.2656 0.5000 0.3258
Ta1 Ta 0.0031 0.5000 0.5372
Ta2 Ta 0.2395 0.0000 0.6916
# M_tot: 0.00 μB per cell
# Theoretical density: 8.6 Mg/m³
# Crystal system: monoclinic
# N(E_F): 7.6 states/eV/cell

---

--- iii ---
# SrScTa2 GGA-PBEsol relaxed
data_SrScTa2
_cell_length_a 3.2440
_cell_length_b 5.5955
_cell_length_c 10.4474
_cell_angle_alpha 90.00
_cell_angle_beta 90.00
_cell_angle_gamma 90.00
_symmetry_space_group_name_H-M 'I m m 2'
_symmetry_Int_Tables_number 44
_symmetry_space_group_name_Hall 'I 2 -2'
loop_
_atom_site_label
_atom_site_type_symbol
_atom_site_fract_x
_atom_site_fract_y
_atom_site_fract_z
Sr1 Sr 0.0000 0.0000 0.0000
Sc1 Sc 0.0000 0.5000 0.2076
Ta1 Ta 0.0000 0.0000 0.4618
Ta2 Ta 0.0000 0.5000 0.7717
# M_tot: 0.00 μB per cell
# Theoretical density: 8.7 Mg/m³
# Crystal system: orthorhombic
# N(E_F): 9.6 states/eV/cell

---

--- iv ---
# SrScTa2 GGA-PBEsol relaxed
data_SrScTa2
_cell_length_a 3.0126
_cell_length_b 4.6301
_cell_length_c 6.9195
_cell_angle_alpha 90.00
_cell_angle_beta 97.22
_cell_angle_gamma 90.00
_symmetry_space_group_name_H-M 'P 1 m 1'
_symmetry_Int_Tables_number 6
_symmetry_space_group_name_Hall 'P -2y'
loop_
_atom_site_label
_atom_site_type_symbol
_atom_site_fract_x
_atom_site_fract_y
_atom_site_fract_z
Sr1 Sr 0.0000 0.0000 0.0000
Sc1 Sc 0.2770 0.5000 0.6668
Ta1 Ta 0.5320 0.0000 0.4558
Ta2 Ta 0.7751 0.5000 0.3051
# M_tot: 0.00 μB per cell
# Theoretical density: 8.6 Mg/m³
# Crystal system: monoclinic
# N(E_F): 4.2 states/eV/cell

---

Need the numbers? Relative energies in kJ/mol of atoms: i 26.8; ii 0.9; iii 16.4; iv 0.0.

---

--- i ---
# SrScW2 GGA-PBEsol relaxed
data_SrScW2
_cell_length_a 3.9436
_cell_length_b 3.9436
_cell_length_c 10.0691
_cell_angle_alpha 90.00
_cell_angle_beta 90.00
_cell_angle_gamma 90.00
_symmetry_space_group_name_H-M 'I 4/m m m'
_symmetry_Int_Tables_number 139
_symmetry_space_group_name_Hall '-I 4 2'
loop_
_atom_site_label
_atom_site_type_symbol
_atom_site_fract_x
_atom_site_fract_y
_atom_site_fract_z
Sr1 Sr 0.0000 0.0000 0.0000
Sc1 Sc 0.0000 0.0000 0.5000
W1 W 0.0000 0.5000 0.2500
# M_tot: 0.00 μB per cell
# Theoretical density: 10.6 Mg/m³
# Crystal system: tetragonal
# N(E_F): 7.4 states/eV/cell

---

--- ii ---
# SrScW2 GGA-PBEsol relaxed
data_SrScW2
_cell_length_a 3.3507
_cell_length_b 4.8571
_cell_length_c 10.2434
_cell_angle_alpha 90.00
_cell_angle_beta 90.00
_cell_angle_gamma 90.00
_symmetry_space_group_name_H-M 'C m m 2'
_symmetry_Int_Tables_number 35
_symmetry_space_group_name_Hall 'C 2 -2'
loop_
_atom_site_label
_atom_site_type_symbol
_atom_site_fract_x
_atom_site_fract_y
_atom_site_fract_z
Sr1 Sr 0.0000 0.0000 0.0000
Sc1 Sc 0.0000 0.5000 0.3225
W1 W 0.0000 0.0000 0.5434
W2 W 0.0000 0.5000 0.7346
# M_tot: 0.00 μB per cell
# Theoretical density: 10.0 Mg/m³
# Crystal system: orthorhombic
# N(E_F): 9.1 states/eV/cell

---

Need the numbers? Relative energies in kJ/mol of atoms: i 36.0; ii 0.0.